Model a:
# PBE TbTmCdPd, optimized geometry
# Volume ... 23.47 Å³/atom
# Calculated density ... 9670 kg/m³
data_TbTmCdPd
_chemical_formula_sum 'Tb4 Tm4 Cd4 Pd4'
_cell_length_a 7.214
_cell_length_b 7.214
_cell_length_c 7.214
_cell_angle_alpha 90.00
_cell_angle_beta 90.00
_cell_angle_gamma 90.00
_space_group_name_H-M_alt 'F -4 3 m'
_space_group_IT_number 216
_space_group_name_Hall 'F -4 2 3'
loop_
_atom_site_label
_atom_site_fract_x
_atom_site_fract_y
_atom_site_fract_z
Tb1 0.000 0.000 0.000
Tm1 0.000 0.000 0.500
Cd1 0.250 0.250 0.750
Pd1 0.250 0.250 0.250

***

Model b:
# PBE TbTmCdPd, optimized geometry
# Volume ... 23.53 Å³/atom
# Calculated density ... 9645 kg/m³
data_TbTmCdPd
_chemical_formula_sum 'Tb1 Tm1 Cd1 Pd1'
_cell_length_a 3.576
_cell_length_b 3.576
_cell_length_c 7.361
_cell_angle_alpha 90.00
_cell_angle_beta 90.00
_cell_angle_gamma 90.00
_space_group_name_H-M_alt 'P 4 m m'
_space_group_IT_number 99
loop_
_space_group_symop_operation_xyz
'x,y,z'
'-y,x,z'
'-x,-y,z'
'y,-x,z'
'-x,y,z'
'y,x,z'
'x,-y,z'
'-y,-x,z'
loop_
_atom_site_label
_atom_site_fract_x
_atom_site_fract_y
_atom_site_fract_z
Tb1 0.000 0.000 0.000
Tm1 0.000 0.000 0.548
Cd1 0.500 0.500 0.280
Pd1 0.500 0.500 0.763

***

Short version: model b, model a, most stable first.

***

Model a:
# PBE ZrCdTcPd2, optimized geometry
# Volume ... 24.14 Å³/atom
# Calculated density ... 7078 kg/m³
data_ZrCdTcPd2
_chemical_formula_sum 'Zr1 Cd1 Tc1 Pd2'
_cell_length_a 4.809
_cell_length_b 4.809
_cell_length_c 5.220
_cell_angle_alpha 90.00
_cell_angle_beta 90.00
_cell_angle_gamma 90.00
_space_group_name_H-M_alt 'P 4/m m m'
_space_group_IT_number 123
_space_group_name_Hall '-P 4 2'
loop_
_atom_site_label
_atom_site_fract_x
_atom_site_fract_y
_atom_site_fract_z
Zr1 0.000 0.000 0.000
Cd1 0.000 0.000 0.500
Tc1 0.500 0.500 0.000
Pd1 0.000 0.500 0.500

***

Model b:
# PBE ZrCdTcPd2, optimized geometry
# Volume ... 22.62 Å³/atom
# Calculated density ... 7554 kg/m³
data_ZrCdTcPd2
_chemical_formula_sum 'Zr1 Cd1 Tc1 Pd2'
_cell_length_a 4.743
_cell_length_b 4.743
_cell_length_c 5.028
_cell_angle_alpha 90.00
_cell_angle_beta 90.00
_cell_angle_gamma 90.00
_space_group_name_H-M_alt 'P 4/m m m'
_space_group_IT_number 123
_space_group_name_Hall '-P 4 2'
loop_
_atom_site_label
_atom_site_fract_x
_atom_site_fract_y
_atom_site_fract_z
Zr1 0.000 0.000 0.000
Cd1 0.500 0.500 0.000
Tc1 0.500 0.500 0.500
Pd1 0.000 0.500 0.500

***

Short version: model b, model a, most stable first.

***

Model a:
# PBE CdTePd6, optimized geometry
# Volume ... 16.64 Å³/atom
# Calculated density ... 10961 kg/m³
data_CdTePd6
_chemical_formula_sum 'Cd1 Te1 Pd6'
_cell_length_a 4.055
_cell_length_b 4.055
_cell_length_c 8.093
_cell_angle_alpha 90.00
_cell_angle_beta 90.00
_cell_angle_gamma 90.00
_space_group_name_H-M_alt 'P 4/m m m'
_space_group_IT_number 123
_space_group_name_Hall '-P 4 2'
loop_
_atom_site_label
_atom_site_fract_x
_atom_site_fract_y
_atom_site_fract_z
Cd1 0.000 0.000 0.000
Te1 0.000 0.000 0.500
Pd1 0.000 0.500 0.252
Pd2 0.500 0.500 0.000
Pd3 0.500 0.500 0.500

***

Model b:
# PBE CdTePd6, optimized geometry
# Volume ... 18.89 Å³/atom
# Calculated density ... 9653 kg/m³
data_CdTePd6
_chemical_formula_sum 'Cd2 Te2 Pd12'
_cell_length_a 7.948
_cell_length_b 5.602
_cell_length_c 7.307
_cell_angle_alpha 90.00
_cell_angle_beta 111.71
_cell_angle_gamma 90.00
_space_group_name_H-M_alt 'C 1 2/m 1'
_space_group_IT_number 12
loop_
_space_group_symop_operation_xyz
'x,y,z'
'-x,-y,-z'
'-x,y,-z'
'x,-y,z'
'x+1/2,y+1/2,z'
'-x+1/2,-y+1/2,-z'
'-x+1/2,y+1/2,-z'
'x+1/2,-y+1/2,z'
loop_
_atom_site_label
_atom_site_fract_x
_atom_site_fract_y
_atom_site_fract_z
Cd1 0.000 0.000 0.000
Te1 0.000 0.500 0.500
Pd1 0.151 0.000 0.440
Pd2 0.187 0.240 0.798

***

Short version: model a, model b, most stable first.